PBE+U LiMn6O4F8, relaxed; calculated total energy = -6.482 eV per atom; total magnetization = 9.00 Bohr magnetons per cell; distance to the lowest polymorph of the same formula = 0.79 eV per formula unit; SG = P1 (1)
1.0
5.349 0.000 0.000
0.795 5.804 0.000
0.353 0.204 7.810
Li Mn O F
1 6 4 8
Direct
0.000 0.000 0.000
0.231 0.755 0.337
0.264 0.464 0.693
0.404 0.196 0.025
0.645 0.685 0.014
0.741 0.946 0.658
0.849 0.366 0.369
0.093 0.535 0.487
0.383 0.912 0.153
0.441 0.474 0.895
0.670 0.016 0.910
0.045 0.282 0.126
0.159 0.147 0.799
0.493 0.764 0.526
0.527 0.444 0.226
0.566 0.282 0.571
0.938 0.744 0.180
0.964 0.659 0.802
0.988 0.027 0.454